First-principles (PBE-GGA) data for an optimized crystal structure of Sc2RePbO8, as listed in Alexandria.

Results
**Raw formation energy**: -2.21 eV/atom
**Spin magnetization**: 0.000 μB/cell

Lattice parameters (Å, degrees): 6.788 6.888 6.639 90.00 90.00 90.00
Space group Cmmm (No. 65)
Symmetry-distinct sites (fractional):
Sc 0.000 0.000 0.249 x4
Re 0.000 0.500 0.000 x2
Pb 0.000 0.500 0.500 x2
O 0.000 0.308 0.208 x8
O 0.178 0.000 0.500 x4
O 0.218 0.000 0.000 x4